No. 1
The following is a GGA-PBE calculation of crystalline MnIr2Pb at its relaxed geometry, from the Alexandria database.

Structure (CIF):
```
data_MnIr2Pb
_cell_length_a 4.220
_cell_length_b 4.220
_cell_length_c 3.734
_cell_angle_alpha 90.00
_cell_angle_beta 90.00
_cell_angle_gamma 90.00
_space_group_name_H-M_alt 'P 1'
_space_group_IT_number 1
_space_group_name_Hall 'P 1'
loop_
_atom_site_label
_atom_site_fract_x
_atom_site_fract_y
_atom_site_fract_z
Pb1 0.000 0.500 0.500
Mn1 0.500 0.000 0.500
Ir1 0.000 0.000 0.000
Ir2 0.500 0.500 0.000
```



No. 2
The following is a GGA-PBE calculation of crystalline MnIr2Pb at its relaxed geometry, from the Alexandria database.

Structure (CIF):
```
data_MnIr2Pb
_cell_length_a 3.427
_cell_length_b 3.427
_cell_length_c 5.850
_cell_angle_alpha 90.00
_cell_angle_beta 90.00
_cell_angle_gamma 90.00
_space_group_name_H-M_alt 'P 1'
_space_group_IT_number 1
_space_group_name_Hall 'P 1'
loop_
_atom_site_label
_atom_site_fract_x
_atom_site_fract_y
_atom_site_fract_z
Ir1 0.000 0.000 0.013
Ir2 0.500 0.500 0.286
Mn1 0.000 0.000 0.439
Pb1 0.500 0.500 0.762
```



No. 3
The following is a GGA-PBE calculation of crystalline MnIr2Pb at its relaxed geometry, from the Alexandria database.

Structure (CIF):
```
data_MnIr2Pb
_cell_length_a 4.986
_cell_length_b 4.986
_cell_length_c 4.986
_cell_angle_alpha 132.49
_cell_angle_beta 132.49
_cell_angle_gamma 69.46
_space_group_name_H-M_alt 'P 1'
_space_group_IT_number 1
_space_group_name_Hall 'P 1'
loop_
_atom_site_label
_atom_site_fract_x
_atom_site_fract_y
_atom_site_fract_z
Mn1 0.500 0.500 0.000
Ir1 0.000 0.000 0.000
Ir2 0.250 0.750 0.500
Pb1 0.750 0.250 0.500
```



No. 4
The following is a GGA-PBE calculation of crystalline MnIr2Pb at its relaxed geometry, from the Alexandria database.

Structure (CIF):
```
data_MnIr2Pb
_cell_length_a 4.822
_cell_length_b 4.822
_cell_length_c 5.010
_cell_angle_alpha 79.27
_cell_angle_beta 79.27
_cell_angle_gamma 36.47
_space_group_name_H-M_alt 'P 1'
_space_group_IT_number 1
_space_group_name_Hall 'P 1'
loop_
_atom_site_label
_atom_site_fract_x
_atom_site_fract_y
_atom_site_fract_z
Ir1 0.752 0.752 0.721
Ir2 0.007 0.007 0.982
Mn1 0.490 0.490 0.562
Pb1 0.252 0.252 0.236
```



No. 5
# MnIr3Pb GGA-PBE optimized geometry
data_MnIr3Pb
_cell_length_a 4.932
_cell_length_b 4.932
_cell_length_c 4.932
_cell_angle_alpha 90.00
_cell_angle_beta 90.00
_cell_angle_gamma 90.00
_space_group_name_H-M_alt 'P 1'
_space_group_IT_number 1
_space_group_name_Hall 'P 1'
loop_
_atom_site_label
_atom_site_fract_x
_atom_site_fract_y
_atom_site_fract_z
Ir1 0.000 0.000 0.500
Ir2 0.500 0.000 0.000
Ir3 0.000 0.500 0.000
Mn1 0.500 0.500 0.500
Pb1 0.000 0.000 0.000
# Energy above the most stable polymorph in this dataset: 1686 meV/atom



No. 6
The following is a GGA-PBE calculation of crystalline MnIr2Pb at its relaxed geometry, from the Alexandria database.

Structure (CIF):
```
data_MnIr2Pb
_cell_length_a 4.559
_cell_length_b 4.559
_cell_length_c 4.559
_cell_angle_alpha 60.00
_cell_angle_beta 60.00
_cell_angle_gamma 60.00
_space_group_name_H-M_alt 'P 1'
_space_group_IT_number 1
_space_group_name_Hall 'P 1'
loop_
_atom_site_label
_atom_site_fract_x
_atom_site_fract_y
_atom_site_fract_z
Ir1 0.000 0.000 0.000
Ir2 0.250 0.250 0.250
Pb1 0.750 0.750 0.750
Mn1 0.500 0.500 0.500
```



No. 7
The following is a GGA-PBE calculation of crystalline MnIr2Pb at its relaxed geometry, from the Alexandria database.

Structure (CIF):
```
data_MnIr2Pb
_cell_length_a 3.053
_cell_length_b 3.053
_cell_length_c 7.236
_cell_angle_alpha 90.00
_cell_angle_beta 90.00
_cell_angle_gamma 90.00
_space_group_name_H-M_alt 'P 1'
_space_group_IT_number 1
_space_group_name_Hall 'P 1'
loop_
_atom_site_label
_atom_site_fract_x
_atom_site_fract_y
_atom_site_fract_z
Pb1 0.500 0.500 0.750
Mn1 0.500 0.500 0.250
Ir1 0.000 0.000 0.049
Ir2 0.000 0.000 0.451
```



No. 8
The following is a GGA-PBE calculation of crystalline MnIr2Pb at its relaxed geometry, from the Alexandria database.

Structure (CIF):
```
data_MnIr2Pb
_cell_length_a 4.405
_cell_length_b 2.960
_cell_length_c 5.341
_cell_angle_alpha 80.16
_cell_angle_beta 90.00
_cell_angle_gamma 90.00
_space_group_name_H-M_alt 'P 1'
_space_group_IT_number 1
_space_group_name_Hall 'P 1'
loop_
_atom_site_label
_atom_site_fract_x
_atom_site_fract_y
_atom_site_fract_z
Ir1 0.000 0.064 0.034
Ir2 0.000 0.436 0.466
Mn1 0.500 0.250 0.250
Pb1 0.500 0.750 0.750
```



No. 9
# MnIr3Pb GGA-PBE optimized geometry
data_MnIr3Pb
_cell_length_a 4.563
_cell_length_b 4.563
_cell_length_c 4.563
_cell_angle_alpha 90.00
_cell_angle_beta 90.00
_cell_angle_gamma 90.00
_space_group_name_H-M_alt 'P 1'
_space_group_IT_number 1
_space_group_name_Hall 'P 1'
loop_
_atom_site_label
_atom_site_fract_x
_atom_site_fract_y
_atom_site_fract_z
Ir1 0.000 0.500 0.000
Ir2 0.500 0.000 0.000
Ir3 0.000 0.000 0.500
Mn1 0.000 0.000 0.000
Pb1 0.500 0.500 0.500
# Energy above the most stable polymorph in this dataset: 0 meV/atom



No. 10
The following is a GGA-PBE calculation of crystalline MnIr2Pb at its relaxed geometry, from the Alexandria database.

Structure (CIF):
```
data_MnIr2Pb
_cell_length_a 4.557
_cell_length_b 3.063
_cell_length_c 4.829
_cell_angle_alpha 90.00
_cell_angle_beta 90.00
_cell_angle_gamma 90.00
_space_group_name_H-M_alt 'P 1'
_space_group_IT_number 1
_space_group_name_Hall 'P 1'
loop_
_atom_site_label
_atom_site_fract_x
_atom_site_fract_y
_atom_site_fract_z
Mn1 0.000 0.625 0.399
Ir1 0.500 0.125 0.333
Ir2 0.000 0.125 0.944
Pb1 0.500 0.625 0.824
```



No. 11
The following is a GGA-PBE calculation of crystalline MnIr2Pb at its relaxed geometry, from the Alexandria database.

Structure (CIF):
```
data_MnIr2Pb
_cell_length_a 4.692
_cell_length_b 4.692
_cell_length_c 3.086
_cell_angle_alpha 90.00
_cell_angle_beta 90.00
_cell_angle_gamma 101.14
_space_group_name_H-M_alt 'P 1'
_space_group_IT_number 1
_space_group_name_Hall 'P 1'
loop_
_atom_site_label
_atom_site_fract_x
_atom_site_fract_y
_atom_site_fract_z
Ir1 0.000 0.000 0.000
Ir2 0.500 0.500 0.000
Mn1 0.500 0.000 0.500
Pb1 0.000 0.500 0.500
```



No. 12
The following is a GGA-PBE calculation of crystalline MnIr2Pb at its relaxed geometry, from the Alexandria database.

Structure (CIF):
```
data_MnIr2Pb
_cell_length_a 2.999
_cell_length_b 2.999
_cell_length_c 7.939
_cell_angle_alpha 90.00
_cell_angle_beta 90.00
_cell_angle_gamma 90.00
_space_group_name_H-M_alt 'P 1'
_space_group_IT_number 1
_space_group_name_Hall 'P 1'
loop_
_atom_site_label
_atom_site_fract_x
_atom_site_fract_y
_atom_site_fract_z
Ir1 0.500 0.500 0.253
Ir2 0.000 0.000 0.032
Mn1 0.000 0.000 0.448
Pb1 0.500 0.500 0.767
```



No. 13
The following is a GGA-PBE calculation of crystalline MnIrPt2Pb at its relaxed geometry, from the Alexandria database.

Structure (CIF):
```
data_MnIrPt2Pb
_cell_length_a 4.946
_cell_length_b 4.737
_cell_length_c 4.946
_cell_angle_alpha 90.00
_cell_angle_beta 90.00
_cell_angle_gamma 90.00
_space_group_name_H-M_alt 'P 1'
_space_group_IT_number 1
_space_group_name_Hall 'P 1'
loop_
_atom_site_label
_atom_site_fract_x
_atom_site_fract_y
_atom_site_fract_z
Pt1 0.000 0.000 0.500
Pt2 0.500 0.000 0.000
Ir1 0.500 0.500 0.500
Mn1 0.000 0.500 0.000
Pb1 0.000 0.000 0.000
```



No. 14
# MnSbIr2Pb GGA-PBE optimized geometry
data_MnSbIr2Pb
_cell_length_a 5.013
_cell_length_b 4.807
_cell_length_c 5.013
_cell_angle_alpha 90.00
_cell_angle_beta 90.00
_cell_angle_gamma 90.00
_space_group_name_H-M_alt 'P 1'
_space_group_IT_number 1
_space_group_name_Hall 'P 1'
loop_
_atom_site_label
_atom_site_fract_x
_atom_site_fract_y
_atom_site_fract_z
Pb1 0.000 0.000 0.000
Sb1 0.500 0.500 0.500
Ir1 0.500 0.000 0.000
Ir2 0.000 0.000 0.500
Mn1 0.000 0.500 0.000
# Formation energy from raw total energies: 191.3 kJ per mole of atoms



No. 15
The following is a GGA-PBE calculation of crystalline ScMn2IrPb at its relaxed geometry, from the Alexandria database.

Structure (CIF):
```
data_ScMn2IrPb
_cell_length_a 4.840
_cell_length_b 4.758
_cell_length_c 4.840
_cell_angle_alpha 90.00
_cell_angle_beta 90.00
_cell_angle_gamma 90.00
_space_group_name_H-M_alt 'P 1'
_space_group_IT_number 1
_space_group_name_Hall 'P 1'
loop_
_atom_site_label
_atom_site_fract_x
_atom_site_fract_y
_atom_site_fract_z
Sc1 0.000 0.000 0.000
Mn1 0.500 0.000 0.000
Mn2 0.000 0.000 0.500
Pb1 0.500 0.500 0.500
Ir1 0.000 0.500 0.000
```



No. 16
The following is a GGA-PBE calculation of crystalline Sc2MnIrPb at its relaxed geometry, from the Alexandria database.

Structure (CIF):
```
data_Sc2MnIrPb
_cell_length_a 4.994
_cell_length_b 4.921
_cell_length_c 4.994
_cell_angle_alpha 90.00
_cell_angle_beta 90.00
_cell_angle_gamma 90.00
_space_group_name_H-M_alt 'P 1'
_space_group_IT_number 1
_space_group_name_Hall 'P 1'
loop_
_atom_site_label
_atom_site_fract_x
_atom_site_fract_y
_atom_site_fract_z
Pb1 0.500 0.500 0.500
Ir1 0.000 0.000 0.000
Sc1 0.000 0.000 0.500
Sc2 0.500 0.000 0.000
Mn1 0.000 0.500 0.000
```



No. 17
The following is a GGA-PBE calculation of crystalline TaMnIr2Pb at its relaxed geometry, from the Alexandria database.

Structure (CIF):
```
data_TaMnIr2Pb
_cell_length_a 4.483
_cell_length_b 4.807
_cell_length_c 4.483
_cell_angle_alpha 90.00
_cell_angle_beta 90.00
_cell_angle_gamma 90.00
_space_group_name_H-M_alt 'P 1'
_space_group_IT_number 1
_space_group_name_Hall 'P 1'
loop_
_atom_site_label
_atom_site_fract_x
_atom_site_fract_y
_atom_site_fract_z
Ir1 0.500 0.000 0.000
Ir2 0.000 0.000 0.500
Mn1 0.000 0.000 0.000
Ta1 0.500 0.500 0.500
Pb1 0.000 0.500 0.000
```



No. 18
The following is a GGA-PBE calculation of crystalline YMnIrPb2 at its relaxed geometry, from the Alexandria database.

Structure (CIF):
```
data_YMnIrPb2
_cell_length_a 5.690
_cell_length_b 4.695
_cell_length_c 5.690
_cell_angle_alpha 90.00
_cell_angle_beta 90.00
_cell_angle_gamma 90.00
_space_group_name_H-M_alt 'P 1'
_space_group_IT_number 1
_space_group_name_Hall 'P 1'
loop_
_atom_site_label
_atom_site_fract_x
_atom_site_fract_y
_atom_site_fract_z
Mn1 0.000 0.500 0.000
Pb1 0.500 0.000 0.000
Pb2 0.000 0.000 0.500
Ir1 0.500 0.500 0.500
Y1 0.000 0.000 0.000
```



No. 19
The following is a GGA-PBE calculation of crystalline Mn2ZnIrPb at its relaxed geometry, from the Alexandria database.

Structure (CIF):
```
data_Mn2ZnIrPb
_cell_length_a 4.992
_cell_length_b 5.144
_cell_length_c 4.992
_cell_angle_alpha 90.00
_cell_angle_beta 90.00
_cell_angle_gamma 90.00
_space_group_name_H-M_alt 'P 1'
_space_group_IT_number 1
_space_group_name_Hall 'P 1'
loop_
_atom_site_label
_atom_site_fract_x
_atom_site_fract_y
_atom_site_fract_z
Zn1 0.500 0.500 0.500
Mn1 0.500 0.000 0.000
Mn2 0.000 0.000 0.500
Pb1 0.000 0.500 0.000
Ir1 0.000 0.000 0.000
```



No. 20
# Mn2Ir2Pd GGA-PBE optimized geometry
data_Mn2Ir2Pd
_cell_length_a 7.153
_cell_length_b 7.153
_cell_length_c 2.672
_cell_angle_alpha 90.00
_cell_angle_beta 90.00
_cell_angle_gamma 90.00
_space_group_name_H-M_alt 'P 1'
_space_group_IT_number 1
_space_group_name_Hall 'P 1'
loop_
_atom_site_label
_atom_site_fract_x
_atom_site_fract_y
_atom_site_fract_z
Pd1 0.500 0.500 0.000
Pd2 0.000 0.000 0.000
Ir1 0.830 0.330 0.500
Ir2 0.170 0.670 0.500
Ir3 0.670 0.830 0.500
Ir4 0.330 0.170 0.500
Mn1 0.881 0.619 0.000
Mn2 0.381 0.881 0.000
Mn3 0.119 0.381 0.000
Mn4 0.619 0.119 0.000
# Energy above the most stable polymorph in this dataset: 29 meV/atom



In order of appearance, D(E_F) = 0.756 0.539 1.159 0.972 2.870 1.638 0.708 0.595 0.886 0.718 0.721 0.895 2.948 1.504 0.847 1.181 1.472 1.234 0.447 1.131 states/eV per atom.
In order of appearance, DFT total energy = -29.638 -28.952 -29.218 -29.202 -25.535 -28.666 -29.686 -29.071 -33.964 -29.224 -29.371 -29.012 -22.511 -24.809 -31.932 -34.676 -35.816 -23.327 -28.569 -81.977 eV for the cell shown.